(1)
The following is a PBE calculation of a relaxed YTlCd crystal, from Alexandria via LeMat-Bulk.

```
YTlCd
1.0
-1.7913 2.3588 4.7683
1.7913 -2.3588 4.7683
1.7913 2.3588 -4.7683
Y Tl Cd
1 1 1
direct
0.0000 0.0000 0.0000
0.3335 0.3335 0.0000
0.6613 0.6613 0.0000
```

## Properties
ΔE_f = -133 meV/atom
Space group = Imm2

(2)
The following is a PBE calculation of a relaxed YTlCd crystal, from Alexandria via LeMat-Bulk.

```
YTlCd
1.0
3.6868 0.0000 0.0000
-1.8434 3.1929 0.0000
0.0000 0.0000 7.1932
Y Tl Cd
1 1 1
direct
0.0000 0.0000 0.0000
0.3333 0.6667 0.6554
0.6667 0.3333 0.3360
```

## Properties
ΔE_f = -89 meV/atom
Space group = P3m1

(3)
The following is a PBE calculation of a relaxed Y4TlCd crystal, from Alexandria via LeMat-Bulk.

```
Y4TlCd
1.0
5.1629 0.0000 0.0000
0.0000 5.1629 0.0000
0.0000 0.0000 7.3654
Y Tl Cd
4 1 1
direct
0.0000 0.5000 0.2438
0.0000 0.5000 0.7562
0.5000 0.0000 0.2438
0.5000 0.0000 0.7562
0.0000 0.0000 0.5000
0.5000 0.5000 0.0000
```

## Properties
Energy above the most stable polymorph in this dataset = 0 meV/atom
ΔE_f = -10 meV/atom
Space group = P4/mmm

(4)
The following is a PBE calculation of a relaxed Y2Tl2Cd crystal, from Alexandria via LeMat-Bulk.

```
Y2Tl2Cd
1.0
8.6307 0.0000 0.0000
0.0000 8.6307 0.0000
0.0000 0.0000 3.9102
Y Tl Cd
4 4 2
direct
0.1691 0.3309 0.0000
0.3309 0.8309 0.0000
0.6691 0.1691 0.0000
0.8309 0.6691 0.0000
0.1340 0.6340 0.5000
0.3660 0.1340 0.5000
0.6340 0.8660 0.5000
0.8660 0.3660 0.5000
0.0000 0.0000 0.0000
0.5000 0.5000 0.0000
```

## Properties
Energy above the most stable polymorph in this dataset = 140 meV/atom
ΔE_f = -163 meV/atom
Space group = P4/mbm

(5)
The following is a PBE calculation of a relaxed YTl2Cd crystal, from Alexandria via LeMat-Bulk.

```
YTl2Cd
1.0
1.7700 1.0219 10.3003
-1.7700 1.0219 10.3003
0.0000 -2.0438 10.3003
Y Tl Cd
1 2 1
direct
0.0000 0.0000 0.0000
0.2471 0.2471 0.2471
0.7529 0.7529 0.7529
0.5000 0.5000 0.5000
```

## Properties
Energy above the most stable polymorph in this dataset = 221 meV/atom
ΔE_f = -36 meV/atom
Space group = R-3m

(6)
The following is a PBE calculation of a relaxed YTlCd crystal, from Alexandria via LeMat-Bulk.

```
YTlCd
1.0
5.1475 0.0000 0.0000
-2.5678 4.5154 0.0000
-0.0119 -0.0613 6.6346
Y Tl Cd
2 2 2
direct
0.0000 0.0000 0.0000
0.3331 0.6696 0.6201
0.0002 0.0039 0.4780
0.6668 0.3355 0.8147
0.3329 0.6650 0.1337
0.6667 0.3350 0.2975
```

## Properties
ΔE_f = -280 meV/atom
Space group = P1

(7)
The following is a PBE calculation of a relaxed YTlCd crystal, from Alexandria via LeMat-Bulk.

```
YTlCd
1.0
4.5485 0.0000 0.0000
0.0000 4.5485 0.0000
0.0000 0.0000 7.6352
Y Tl Cd
2 2 2
direct
0.2500 0.2500 0.1806
0.7500 0.7500 0.8194
0.2500 0.2500 0.7744
0.7500 0.7500 0.2256
0.2500 0.7500 0.5000
0.7500 0.2500 0.5000
```

## Properties
ΔE_f = -289 meV/atom
Space group = P4/nmm

(8)
The following is a PBE calculation of a relaxed Y3TlCd2 crystal, from Alexandria via LeMat-Bulk.

```
Y3TlCd2
1.0
3.7683 0.0000 0.0000
0.0000 3.7683 0.0000
0.0000 0.0000 11.2881
Y Tl Cd
3 1 2
direct
0.0000 0.0000 0.0000
0.0000 0.0000 0.3287
0.0000 0.0000 0.6713
0.5000 0.5000 0.5000
0.5000 0.5000 0.1613
0.5000 0.5000 0.8387
```

## Properties
Energy above the most stable polymorph in this dataset = 5 meV/atom
ΔE_f = -364 meV/atom
Space group = P4/mmm

(9)
The following is a PBE calculation of a relaxed YTl2Cd crystal, from Alexandria via LeMat-Bulk.

```
YTl2Cd
1.0
3.5021 0.0000 0.0000
0.0000 4.9230 0.0000
-0.7100 0.0000 6.2798
Y Tl Cd
1 2 1
direct
0.0000 0.0000 0.0000
0.3320 0.5000 0.7488
0.6680 0.5000 0.2512
0.5000 0.0000 0.5000
```

## Properties
Energy above the most stable polymorph in this dataset = 125 meV/atom
ΔE_f = -132 meV/atom
Space group = P2/m

(10)
The following is a PBE calculation of a relaxed Y4Tl2Cd3 crystal, from Alexandria via LeMat-Bulk.

```
Y4Tl2Cd3
1.0
4.4775 -2.5846 0.0000
4.4775 2.5846 0.0000
-0.0053 0.0000 10.4033
Y Tl Cd
4 2 3
direct
0.9997 0.9997 0.1696
0.0003 0.0003 0.8304
0.3331 0.3331 0.3831
0.6669 0.6669 0.6169
0.3336 0.3336 0.7060
0.6664 0.6664 0.2940
0.0000 0.0000 0.5000
0.3332 0.3332 0.0266
0.6668 0.6668 0.9734
```

## Properties
ΔE_f = -304 meV/atom
Space group = C2/m

(11)
The following is a PBE calculation of a relaxed YTlCd4 crystal, from Alexandria via LeMat-Bulk.

```
YTlCd4
1.0
0.0000 4.2190 4.2190
4.2190 0.0000 4.2190
4.2190 4.2190 0.0000
Y Tl Cd
1 1 4
direct
0.0000 0.0000 0.0000
0.2500 0.2500 0.2500
0.1235 0.6255 0.6255
0.6255 0.1235 0.6255
0.6255 0.6255 0.1235
0.6255 0.6255 0.6255
```

## Properties
Energy above the most stable polymorph in this dataset = 84 meV/atom
ΔE_f = -99 meV/atom
Space group = F-43m

(12)
The following is a PBE calculation of a relaxed Y3Tl2Cd2 crystal, from Alexandria via LeMat-Bulk.

```
Y3Tl2Cd2
1.0
5.0070 0.0000 0.0000
-2.4937 4.3856 0.0000
-0.0294 -2.8271 8.6180
Y Tl Cd
3 2 2
direct
0.0000 0.0000 0.0000
0.4325 0.8653 0.2959
0.5675 0.1347 0.7041
0.2875 0.5740 0.8628
0.7125 0.4260 0.1372
0.1566 0.3130 0.4702
0.8434 0.6870 0.5298
```

## Properties
ΔE_f = -314 meV/atom
Space group = P-1

(13)
The following is a PBE calculation of a relaxed YTl2Cd crystal, from Alexandria via LeMat-Bulk.

```
YTl2Cd
1.0
2.2055 1.2733 6.9766
-2.2055 1.2733 6.9766
0.0000 -2.5467 6.9766
Y Tl Cd
1 2 1
direct
0.0000 0.0000 0.0000
0.4260 0.4260 0.4260
0.5787 0.5787 0.5787
0.1698 0.1698 0.1698
```

## Properties
Energy above the most stable polymorph in this dataset = 254 meV/atom
ΔE_f = -3 meV/atom
Space group = R3m

(14)
The following is a PBE calculation of a relaxed YTl2Cd crystal, from Alexandria via LeMat-Bulk.

```
YTl2Cd
1.0
3.9158 0.0000 0.0000
0.0000 4.0538 0.0000
0.0000 0.0000 6.8845
Y Tl Cd
1 2 1
direct
0.0000 0.0000 0.0000
0.0000 0.0000 0.4855
0.5000 0.5000 0.7520
0.5000 0.5000 0.2468
```

## Properties
Energy above the most stable polymorph in this dataset = 119 meV/atom
ΔE_f = -138 meV/atom
Space group = Pmm2

(15)
The following is a PBE calculation of a relaxed YTlCd crystal, from Alexandria via LeMat-Bulk.

```
YTlCd
1.0
0.0000 3.5904 3.5904
3.5904 0.0000 3.5904
3.5904 3.5904 0.0000
Y Tl Cd
1 1 1
direct
0.0000 0.0000 0.0000
0.2500 0.2500 0.2500
0.7500 0.7500 0.7500
```

## Properties
ΔE_f = 64 meV/atom
Space group = F-43m

(16)
The following is a PBE calculation of a relaxed Y2TlCd2 crystal, from Alexandria via LeMat-Bulk.

```
Y2TlCd2
1.0
7.6931 0.0000 0.0000
0.0000 7.6931 0.0000
0.0000 0.0000 4.5070
Y Tl Cd
4 2 4
direct
0.1687 0.3313 0.0000
0.3313 0.8313 0.0000
0.6687 0.1687 0.0000
0.8313 0.6687 0.0000
0.0000 0.0000 0.5000
0.5000 0.5000 0.5000
0.1299 0.6299 0.5000
0.3701 0.1299 0.5000
0.6299 0.8701 0.5000
0.8701 0.3701 0.5000
```

## Properties
Energy above the most stable polymorph in this dataset = 6 meV/atom
ΔE_f = -268 meV/atom
Space group = P4/mbm

(17)
The following is a PBE calculation of a relaxed YTlCd crystal, from Alexandria via LeMat-Bulk.

```
YTlCd
1.0
3.6075 0.0000 0.0000
0.0000 4.9979 0.0000
-0.0638 0.0000 8.6854
Y Tl Cd
2 2 2
direct
0.0130 0.2500 0.2450
0.9870 0.7500 0.7550
0.3871 0.2500 0.5902
0.6129 0.7500 0.4098
0.4799 0.7500 0.0756
0.5201 0.2500 0.9244
```

## Properties
ΔE_f = -275 meV/atom
Space group = P2_1/m

(18)
The following is a PBE calculation of a relaxed YTlCd crystal, from Alexandria via LeMat-Bulk.

```
YTlCd
1.0
-1.7812 1.7812 6.1821
1.7812 -1.7812 6.1821
1.7812 1.7812 -6.1821
Y Tl Cd
1 1 1
direct
0.0000 0.0000 0.0000
0.3246 0.3246 0.0000
0.6660 0.6660 0.0000
```

## Properties
ΔE_f = -208 meV/atom
Space group = I4mm

(19)
The following is a PBE calculation of a relaxed Y2TlCd2 crystal, from Alexandria via LeMat-Bulk.

```
Y2TlCd2
1.0
5.6573 -2.5099 0.0000
5.6573 2.5099 0.0000
-3.5433 0.0000 9.2520
Y Tl Cd
4 2 4
direct
0.0426 0.0426 0.3430
0.1687 0.1687 0.0644
0.8313 0.8313 0.9356
0.9574 0.9574 0.6570
0.2581 0.2581 0.7062
0.7419 0.7419 0.2938
0.3669 0.3669 0.4242
0.4676 0.4676 0.1317
0.5324 0.5324 0.8683
0.6331 0.6331 0.5758
```

## Properties
Energy above the most stable polymorph in this dataset = 0 meV/atom
ΔE_f = -274 meV/atom
Space group = C2/m

(20)
The following is a PBE calculation of a relaxed Y3TlCd2 crystal, from Alexandria via LeMat-Bulk.

```
Y3TlCd2
1.0
5.3184 0.0000 0.0000
-2.6592 4.6059 0.0000
0.0000 0.0000 6.5409
Y Tl Cd
3 1 2
direct
0.0000 0.0000 0.0000
0.3333 0.6667 0.6656
0.6667 0.3333 0.3344
0.0000 0.0000 0.5000
0.3333 0.6667 0.1514
0.6667 0.3333 0.8486
```

## Properties
Energy above the most stable polymorph in this dataset = 0 meV/atom
ΔE_f = -369 meV/atom
Space group = P-3m1

| no. | total magnetic moment (μB/atom) |
| --- | --- |
| 1 | 0.00 |
| 2 | 0.00 |
| 3 | 0.00 |
| 4 | 0.00 |
| 5 | 0.00 |
| 6 | 0.00 |
| 7 | 0.00 |
| 8 | 0.00 |
| 9 | 0.00 |
| 10 | 0.00 |
| 11 | 0.00 |
| 12 | 0.00 |
| 13 | 0.00 |
| 14 | 0.01 |
| 15 | 0.00 |
| 16 | 0.00 |
| 17 | 0.00 |
| 18 | 0.12 |
| 19 | 0.00 |
| 20 | 0.00 |